Below is a geometry-optimized SrYNi2H8 structure, with properties calculated at the PBE level.

Summary:
**Space-group type**: No. 148
**Final energy**: -48.9 eV per cell

Geometry as extended XYZ:
```
12
Lattice="2.418 1.396 6.190 -2.418 1.396 6.190 0.000 -2.792 6.190" Properties=species:S:1:pos:R:3 pbc="T T T"
Sr 0.000 0.000 0.000
Y 0.000 0.000 9.284
Ni 0.000 0.000 4.263
Ni 0.000 0.000 14.306
H -1.961 0.095 8.187
H -1.063 -1.651 10.381
H 0.000 0.000 5.771
H 0.899 -1.746 8.187
H -0.899 1.746 10.381
H 0.000 0.000 12.798
H 1.063 1.651 8.187
H 1.961 -0.095 10.381
```